A relaxed structure of BaTbSn, computed with PBE-GGA.

a b c (Å): 7.8006 7.8006 7.8006
angles (deg): 90.00 90.00 90.00
With the nearest neighbours (Å) after each atom.
Atoms (fractional coordinates):
Ba 0.0000 0.0000 0.0000  4 Tb 3.38, 4 Sn 3.38
Ba 0.0000 0.5000 0.5000  4 Tb 3.38, 4 Sn 3.38
Ba 0.5000 0.0000 0.5000  4 Tb 3.38, 4 Sn 3.38
Ba 0.5000 0.5000 0.0000  4 Tb 3.38, 4 Sn 3.38
Tb 0.2500 0.2500 0.2500  4 Ba 3.38
Tb 0.2500 0.7500 0.7500  4 Ba 3.38
Tb 0.7500 0.2500 0.7500  4 Ba 3.38
Tb 0.7500 0.7500 0.2500  4 Ba 3.38
Sn 0.2500 0.2500 0.7500  4 Ba 3.38
Sn 0.2500 0.7500 0.2500  4 Ba 3.38
Sn 0.7500 0.2500 0.2500  4 Ba 3.38
Sn 0.7500 0.7500 0.7500  4 Ba 3.38

Summary:
- electronic total energy (eV per cell) = -37.9